## Y2TmTh4 (PBE)

Data for crystalline Y2TmTh4 at its relaxed geometry.

Structure (CIF):
```
data_Y2TmTh4
_chemical_formula_sum 'Y4 Tm2 Th8'
_symmetry_space_group_name_H-M 'I 4/m m m'
_symmetry_Int_Tables_number 139
_symmetry_space_group_name_Hall '-I 4 2'
_cell_length_a 5.6422
_cell_length_b 5.6422
_cell_length_c 16.6393
_cell_angle_alpha 90.00
_cell_angle_beta 90.00
_cell_angle_gamma 90.00
loop_
_atom_site_label
_atom_site_type_symbol
_atom_site_fract_x
_atom_site_fract_y
_atom_site_fract_z
Y1 Y 0.0000 0.0000 0.1183
Tm1 Tm 0.0000 0.0000 0.5000
Th1 Th 0.0000 0.0000 0.3163
Th2 Th 0.0000 0.5000 0.0000
```

Calculated values
The formation energy is 976 meV per atom. The calculation puts the energy above the most stable polymorph in this dataset at 4.430 eV per formula unit.